Entry 1:
A relaxed La2Ga3 crystal, computed with GGA-PBE.

ΔE_f: -3.32 eV/f.u.
crystal system: orthorhombic
magnetization: 0.0000 μB/atom

Unit cell a=13.5466 b=13.5466 c=4.2986 alpha=90.00 beta=90.00 gamma=160.95
Sites, in units of the cell vectors:
La: 0.0718 0.9282 0.7500
La: 0.2027 0.7973 0.2500
La: 0.7973 0.2027 0.7500
La: 0.9282 0.0718 0.2500
Ga: 0.3296 0.6704 0.2500
Ga: 0.3829 0.6171 0.7500
Ga: 0.4767 0.5233 0.7500
Ga: 0.5233 0.4767 0.2500
Ga: 0.6171 0.3829 0.2500
Ga: 0.6704 0.3296 0.7500

Entry 2:
A relaxed CoICl2 crystal, computed with GGA-PBE.

crystal system: cubic
magnetization: 0.9937 μB/atom
energy relative to the elements, uncorrected: 2.99 eV/f.u.
excess energy over the best structure of this formula in the dataset: 1.100 eV/atom

Unit cell a=5.1076 b=5.1076 c=5.1076 alpha=60.00 beta=60.00 gamma=60.00
Sites, in units of the cell vectors:
Co: 0.0000 0.0000 0.0000
I: 0.5000 0.5000 0.5000
Cl: 0.2500 0.2500 0.2500
Cl: 0.7500 0.7500 0.7500

Entry 3:
A relaxed ErMgBi crystal, computed with GGA-PBE.

ΔE_f: -0.75 eV/f.u.
crystal system: trigonal
magnetization: 0.0000 μB/atom
excess energy over the best structure of this formula in the dataset: 0.007 eV/atom

Unit cell a=8.4548 b=8.4548 c=8.4548 alpha=103.12 beta=103.12 gamma=103.12
Sites, in units of the cell vectors:
Er: 0.1900 0.3905 0.5173
Er: 0.3905 0.5173 0.1900
Er: 0.4827 0.8100 0.6095
Er: 0.5173 0.1900 0.3905
Er: 0.6095 0.4827 0.8100
Er: 0.8100 0.6095 0.4827
Mg: 0.0116 0.7349 0.9229
Mg: 0.0771 0.9884 0.2651
Mg: 0.2651 0.0771 0.9884
Mg: 0.7349 0.9229 0.0116
Mg: 0.9229 0.0116 0.7349
Mg: 0.9884 0.2651 0.0771
Bi: 0.1075 0.6410 0.3083
Bi: 0.3083 0.1075 0.6410
Bi: 0.3590 0.6917 0.8925
Bi: 0.6410 0.3083 0.1075
Bi: 0.6917 0.8925 0.3590
Bi: 0.8925 0.3590 0.6917

Entry 4:
A relaxed BaZn4Pd crystal, computed with GGA-PBE.

ΔE_f: -1.24 eV/f.u.
crystal system: monoclinic
magnetization: 0.0000 μB/atom
excess energy over the best structure of this formula in the dataset: 0.052 eV/atom

Unit cell a=5.0849 b=5.0849 c=6.2673 alpha=90.35 beta=90.35 gamma=63.50
Sites, in units of the cell vectors:
Ba: 0.0000 0.0000 0.0000
Zn: 0.0000 0.5000 0.5000
Zn: 0.5000 0.0000 0.5000
Zn: 0.4997 0.4997 0.3004
Zn: 0.5003 0.5003 0.6996
Pd: 0.0000 0.0000 0.5000

Entry 5:
A relaxed Pa2InGa2Rh5 crystal, computed with GGA-PBE.

ΔE_f: -6.15 eV/f.u.
crystal system: tetragonal
magnetization: 0.0853 μB/atom

Unit cell a=9.8358 b=9.8358 c=3.6779 alpha=90.00 beta=90.00 gamma=90.00
Sites, in units of the cell vectors:
Pa: 0.1794 0.3206 0.0000
Pa: 0.3206 0.8206 0.0000
Pa: 0.6794 0.1794 0.0000
Pa: 0.8206 0.6794 0.0000
In: 0.0000 0.0000 0.0000
In: 0.5000 0.5000 0.0000
Ga: 0.1180 0.6180 0.0000
Ga: 0.3820 0.1180 0.0000
Ga: 0.6180 0.8820 0.0000
Ga: 0.8820 0.3820 0.0000
Rh: 0.0000 0.5000 0.5000
Rh: 0.0867 0.7939 0.5000
Rh: 0.2061 0.0867 0.5000
Rh: 0.2939 0.5868 0.5000
Rh: 0.4132 0.2939 0.5000
Rh: 0.5000 0.0000 0.5000
Rh: 0.5868 0.7061 0.5000
Rh: 0.7061 0.4132 0.5000
Rh: 0.7939 0.9132 0.5000
Rh: 0.9132 0.2061 0.5000

Entry 6:
A relaxed AgMoAuBr2 crystal, computed with GGA-PBE.

crystal system: tetragonal
magnetization: 0.0000 μB/atom
energy relative to the elements, uncorrected: 3.56 eV/f.u.

Unit cell a=4.8299 b=4.8299 c=5.6951 alpha=90.00 beta=90.00 gamma=90.00
Sites, in units of the cell vectors:
Ag: 0.0000 0.0000 0.0000
Mo: 0.0000 0.0000 0.5000
Au: 0.5000 0.5000 0.0000
Br: 0.0000 0.5000 0.5000
Br: 0.5000 0.0000 0.5000

Entry 7:
A relaxed Sm3B7Mo crystal, computed with GGA-PBE.

ΔE_f: -5.14 eV/f.u.
crystal system: orthorhombic
magnetization: 0.0000 μB/atom

Unit cell a=8.3732 b=8.3732 c=9.6082 alpha=90.00 beta=90.00 gamma=155.56
Sites, in units of the cell vectors:
Sm: 0.1059 0.8941 0.5616
Sm: 0.1059 0.8941 0.9384
Sm: 0.2435 0.7565 0.2500
Sm: 0.7565 0.2435 0.7500
Sm: 0.8941 0.1059 0.0616
Sm: 0.8941 0.1059 0.4384
B: 0.2734 0.7266 0.5316
B: 0.2734 0.7266 0.9684
B: 0.3654 0.6346 0.6481
B: 0.3654 0.6346 0.8519
B: 0.4624 0.5376 0.2500
B: 0.4783 0.5217 0.5936
B: 0.4783 0.5217 0.9064
B: 0.5217 0.4783 0.0936
B: 0.5217 0.4783 0.4064
B: 0.5376 0.4624 0.7500
B: 0.6346 0.3654 0.1481
B: 0.6346 0.3654 0.3519
B: 0.7266 0.2734 0.0316
B: 0.7266 0.2734 0.4684
Mo: 0.0551 0.9449 0.2500
Mo: 0.9449 0.0551 0.7500

Entry 8:
A relaxed RbBa2SrSi crystal, computed with GGA-PBE.

crystal system: tetragonal
magnetization: 0.0652 μB/atom
energy relative to the elements, uncorrected: -0.28 eV/f.u.

Unit cell a=6.6756 b=6.6756 c=6.3204 alpha=90.00 beta=90.00 gamma=90.00
Sites, in units of the cell vectors:
Rb: 0.0000 0.0000 0.0000
Ba: 0.0000 0.5000 0.5000
Ba: 0.5000 0.0000 0.5000
Sr: 0.5000 0.5000 0.0000
Si: 0.5000 0.5000 0.5000

Entry 9:
A relaxed KCa2Ni crystal, computed with GGA-PBE.

ΔE_f: 0.76 eV/f.u.
crystal system: tetragonal
magnetization: 0.0000 μB/atom
excess energy over the best structure of this formula in the dataset: 0.127 eV/atom

Unit cell a=3.9776 b=3.9776 c=9.3571 alpha=90.00 beta=90.00 gamma=90.00
Sites, in units of the cell vectors:
K: 0.0000 0.0000 0.0000
Ca: 0.0000 0.0000 0.3769
Ca: 0.5000 0.5000 0.6328
Ni: 0.5000 0.5000 0.3285

Entry 10:
A relaxed Rb2Tl3In crystal, computed with GGA-PBE.

ΔE_f: 0.01 eV/f.u.
crystal system: orthorhombic
magnetization: 0.0000 μB/atom
excess energy over the best structure of this formula in the dataset: 0.086 eV/atom

Unit cell a=9.4183 b=9.4183 c=6.3979 alpha=90.00 beta=90.00 gamma=66.50
Sites, in units of the cell vectors:
Rb: 0.0301 0.6845 0.7500
Rb: 0.3155 0.9699 0.7500
Rb: 0.6845 0.0301 0.2500
Rb: 0.9699 0.3155 0.2500
Tl: 0.1208 0.8792 0.2500
Tl: 0.3354 0.3354 0.0000
Tl: 0.3354 0.3354 0.5000
Tl: 0.6646 0.6646 0.0000
Tl: 0.6646 0.6646 0.5000
Tl: 0.8792 0.1208 0.7500
In: 0.4154 0.5846 0.2500
In: 0.5846 0.4154 0.7500

Entry 11:
A relaxed LiMnFe2 crystal, computed with GGA-PBE.

ΔE_f: 0.85 eV/f.u.
crystal system: orthorhombic
magnetization: 1.2597 μB/atom
excess energy over the best structure of this formula in the dataset: 0.009 eV/atom

Unit cell a=2.4368 b=2.4368 c=8.4676 alpha=90.00 beta=90.00 gamma=110.83
Sites, in units of the cell vectors:
Li: 0.0000 0.0000 0.0000
Mn: 0.0000 0.0000 0.5000
Fe: 0.5000 0.5000 0.2645
Fe: 0.5000 0.5000 0.7355

Entry 12:
A relaxed Ho3Er6In crystal, computed with GGA-PBE.

ΔE_f: -0.32 eV/f.u.
crystal system: monoclinic
magnetization: 0.0000 μB/atom
excess energy over the best structure of this formula in the dataset: 0.042 eV/atom

Unit cell a=12.7431 b=3.5098 c=14.2626 alpha=90.00 beta=108.33 gamma=90.00
Sites, in units of the cell vectors:
Ho: 0.0093 0.2500 0.3972
Ho: 0.3774 0.2500 0.9964
Ho: 0.4681 0.2500 0.5925
Ho: 0.5319 0.7500 0.4075
Ho: 0.6226 0.7500 0.0036
Ho: 0.9907 0.7500 0.6028
Er: 0.1377 0.7500 0.0223
Er: 0.1444 0.2500 0.8077
Er: 0.2184 0.2500 0.5992
Er: 0.2534 0.7500 0.3946
Er: 0.3356 0.2500 0.2167
Er: 0.3852 0.7500 0.7889
Er: 0.6148 0.2500 0.2111
Er: 0.6644 0.7500 0.7833
Er: 0.7466 0.2500 0.6054
Er: 0.7816 0.7500 0.4008
Er: 0.8556 0.7500 0.1923
Er: 0.8623 0.2500 0.9777
In: 0.0775 0.2500 0.1962
In: 0.9225 0.7500 0.8038

Entry 13:
A relaxed Dy2NpCuS5 crystal, computed with GGA-PBE.

crystal system: orthorhombic
magnetization: 0.4432 μB/atom
energy relative to the elements, uncorrected: -13.46 eV/f.u.

Unit cell a=8.8402 b=8.8402 c=11.2297 alpha=90.00 beta=90.00 gamma=155.13
Sites, in units of the cell vectors:
Dy: 0.0998 0.9002 0.5000
Dy: 0.1167 0.8833 0.1230
Dy: 0.8833 0.1167 0.6230
Dy: 0.9002 0.0998 0.0000
Np: 0.1996 0.8004 0.8241
Np: 0.8004 0.1996 0.3241
Cu: 0.4393 0.5607 0.2678
Cu: 0.5607 0.4393 0.7678
S: 0.0476 0.9524 0.8774
S: 0.2943 0.7057 0.4984
S: 0.3243 0.6757 0.1549
S: 0.3613 0.6387 0.8186
S: 0.4960 0.5040 0.5928
S: 0.5040 0.4960 0.0928
S: 0.6387 0.3613 0.3186
S: 0.6757 0.3243 0.6549
S: 0.7057 0.2943 0.9984
S: 0.9524 0.0476 0.3774

Entry 14:
A relaxed AcSmAg crystal, computed with GGA-PBE.

ΔE_f: 0.27 eV/f.u.
crystal system: cubic
magnetization: 0.2487 μB/atom
excess energy over the best structure of this formula in the dataset: 0.233 eV/atom

Unit cell a=5.3273 b=5.3273 c=5.3273 alpha=60.00 beta=60.00 gamma=60.00
Sites, in units of the cell vectors:
Ac: 0.0000 0.0000 0.0000
Sm: 0.5000 0.5000 0.5000
Ag: 0.2500 0.2500 0.2500

Entry 15:
A relaxed NdZrCu2 crystal, computed with GGA-PBE.

ΔE_f: -0.40 eV/f.u.
crystal system: tetragonal
magnetization: 0.1808 μB/atom
excess energy over the best structure of this formula in the dataset: 0.000 eV/atom

Unit cell a=3.4053 b=3.4053 c=6.9739 alpha=90.00 beta=90.00 gamma=90.00
Sites, in units of the cell vectors:
Nd: 0.0000 0.0000 0.0000
Zr: 0.0000 0.0000 0.5000
Cu: 0.5000 0.5000 0.2973
Cu: 0.5000 0.5000 0.7027

Entry 16:
A relaxed La6SiP2I3 crystal, computed with GGA-PBE.

crystal system: monoclinic
magnetization: 0.0000 μB/atom
energy relative to the elements, uncorrected: -15.84 eV/f.u.

Unit cell a=7.5171 b=7.5171 c=8.2454 alpha=98.74 beta=98.74 gamma=120.00
Sites, in units of the cell vectors:
La: 0.0983 0.4351 0.8057
La: 0.2276 0.2276 0.1938
La: 0.4351 0.0983 0.8057
La: 0.5649 0.9017 0.1943
La: 0.7724 0.7724 0.8062
La: 0.9017 0.5649 0.1943
Si: 0.5000 0.5000 0.0000
P: 0.1669 0.8331 0.0000
P: 0.8331 0.1669 0.0000
I: 0.0000 0.0000 0.5000
I: 0.3349 0.6651 0.5000
I: 0.6651 0.3349 0.5000

Entry 17:
A relaxed BaP2PtCl crystal, computed with GGA-PBE.

crystal system: tetragonal
magnetization: 1.0181 μB/atom
energy relative to the elements, uncorrected: 6.39 eV/f.u.
excess energy over the best structure of this formula in the dataset: 1.833 eV/atom

Unit cell a=6.3770 b=6.3770 c=5.7576 alpha=90.00 beta=90.00 gamma=90.00
Sites, in units of the cell vectors:
Ba: 0.0000 0.0000 0.0000
P: 0.0000 0.5000 0.0000
P: 0.5000 0.0000 0.0000
Pt: 0.5000 0.5000 0.5000
Cl: 0.0000 0.0000 0.5000

Entry 18:
A relaxed YTe2Se crystal, computed with GGA-PBE.

crystal system: orthorhombic
magnetization: 0.0000 μB/atom
energy relative to the elements, uncorrected: -2.06 eV/f.u.

Unit cell a=5.0967 b=5.0967 c=4.2860 alpha=90.00 beta=90.00 gamma=103.53
Sites, in units of the cell vectors:
Y: 0.0000 0.0000 0.0000
Te: 0.0000 0.5000 0.5000
Te: 0.5000 0.0000 0.5000
Se: 0.5000 0.5000 0.0000

Entry 19:
A relaxed KPuMnN4 crystal, computed with GGA-PBE.

crystal system: monoclinic
magnetization: 0.5715 μB/atom
energy relative to the elements, uncorrected: -2.92 eV/f.u.

Unit cell a=5.6839 b=5.4969 c=7.5844 alpha=90.00 beta=106.14 gamma=90.00
Sites, in units of the cell vectors:
K: 0.2070 0.2500 0.4282
K: 0.7930 0.7500 0.5718
Pu: 0.2670 0.2500 0.9464
Pu: 0.7330 0.7500 0.0536
Mn: 0.2691 0.7500 0.1614
Mn: 0.7309 0.2500 0.8386
N: 0.0637 0.7500 0.2907
N: 0.0686 0.7500 0.9486
N: 0.4644 0.5076 0.1759
N: 0.4644 0.9924 0.1759
N: 0.5356 0.0076 0.8241
N: 0.5356 0.4924 0.8241
N: 0.9314 0.2500 0.0514
N: 0.9363 0.2500 0.7093

Entry 20:
A relaxed Al2VPt crystal, computed with GGA-PBE.

ΔE_f: -0.13 eV/f.u.
crystal system: trigonal
magnetization: 0.0867 μB/atom

Unit cell a=9.4112 b=9.4112 c=9.4112 alpha=17.25 beta=17.25 gamma=17.25
Sites, in units of the cell vectors:
Al: 0.0918 0.0918 0.0918
Al: 0.9082 0.9082 0.9082
V: 0.0000 0.0000 0.0000
Pt: 0.5000 0.5000 0.5000